1.
Material: TiPd3N
Method: DFT, PBE
State: optimized geometry

a b c (Å): 4.6775 4.6775 4.6775
angles (deg): 90.00 90.00 90.00
Positions (direct):
Ti 0.0000 0.0000 0.0000
Pd 0.0000 0.0000 0.5000
Pd 0.0000 0.5000 0.0000
Pd 0.5000 0.0000 0.0000
N 0.5000 0.5000 0.5000

Summary:
The mass density is 6.18 Mg/m³. As for the space group: Pm-3m. The calculation puts the density of states at the Fermi level at 0.557 states/eV per atom. The energy relative to the elements, uncorrected is 152.01 kJ per mole of atoms. Its offset from the most stable computed form is 1404 meV/atom.



2.
Material: Ti3PdN
Method: DFT, PBE
State: optimized geometry

a b c (Å): 2.9790 5.7599 8.8070
angles (deg): 73.60 89.93 75.04
Positions (direct):
Ti 0.0000 0.0000 0.0000
Ti 0.0601 0.8889 0.7311
Ti 0.3194 0.3700 0.7151
Ti 0.6170 0.7773 0.4950
Ti 0.7271 0.5514 0.9908
Ti 0.8692 0.2725 0.4387
Pd 0.1757 0.6645 0.2633
Pd 0.4106 0.1814 0.1911
N 0.4526 0.1050 0.5842
N 0.6975 0.6137 0.7512

Summary:
The mass density is 6.28 Mg/m³. As for the space group: P1. The calculation puts the density of states at the Fermi level at 0.133 states/eV per atom. The energy relative to the elements, uncorrected is -88.91 kJ per mole of atoms.